a | Here is a relaxed GeAs2OsSe crystal from the Alexandria database. Energies are from PBE.

The spin magnetization is 0.000 μB per atom. As for the density of states at the Fermi level: 3.16 states/eV/cell.

The space group is P4/mmm (No. 123) and the conventional cell measures 4.6492, 4.6492 and 5.5213 Å, with angles of 90.00, 90.00 and 90.00 degrees. The asymmetric unit holds Ge at (0.0000, 0.0000, 0.0000), As at (0.0000, 0.5000, 0.5000), Os at (0.5000, 0.5000, 0.5000) and Se at (0.5000, 0.5000, 0.0000).



b | Here is a relaxed GeAs2OsSe crystal from the Alexandria database. Energies are from PBE.

The spin magnetization is 0.059 μB per atom. As for the density of states at the Fermi level: 5.28 states/eV/cell.

The space group is P4/mmm (No. 123) and the conventional cell measures 4.7257, 4.7257 and 4.7768 Å, with angles of 90.00, 90.00 and 90.00 degrees. The asymmetric unit holds Ge at (0.0000, 0.0000, 0.0000), As at (0.0000, 0.5000, 0.0000), Os at (0.5000, 0.5000, 0.5000) and Se at (0.0000, 0.0000, 0.5000).



Most stable structure - a; separation to the second - 0.895 eV/atom.



a | Here is a relaxed GeAsOsSe2 crystal from the Alexandria database. Energies are from PBE.

The spin magnetization is 0.000 μB per atom. As for the density of states at the Fermi level: 3.04 states/eV/cell.

The space group is P4/mmm (No. 123) and the conventional cell measures 4.7716, 4.7716 and 4.7398 Å, with angles of 90.00, 90.00 and 90.00 degrees. The asymmetric unit holds Ge at (0.0000, 0.0000, 0.0000), As at (0.0000, 0.0000, 0.5000), Os at (0.5000, 0.5000, 0.5000) and Se at (0.0000, 0.5000, 0.0000).



b | Here is a relaxed GeAsOsSe2 crystal from the Alexandria database. Energies are from PBE.

The spin magnetization is 0.000 μB per atom. As for the density of states at the Fermi level: 7.39 states/eV/cell.

The space group is P4/mmm (No. 123) and the conventional cell measures 5.0711, 5.0711 and 4.6156 Å, with angles of 90.00, 90.00 and 90.00 degrees. The asymmetric unit holds Ge at (0.0000, 0.0000, 0.0000), As at (0.5000, 0.5000, 0.0000), Os at (0.5000, 0.5000, 0.5000) and Se at (0.0000, 0.5000, 0.5000).



Most stable structure - b; separation to the second - 0.811 eV/atom.



a | Here is a relaxed ZnGeAsP crystal from the Alexandria database. Energies are from PBE.

The spin magnetization is 0.000 μB per atom.

The space group is I2_12_12_1 (No. 24) and the conventional cell measures 5.5947, 5.6409 and 11.1162 Å, with angles of 90.00, 90.00 and 90.00 degrees. The asymmetric unit holds Zn at (0.0000, 0.2500, 0.1160), Ge at (0.0000, 0.2500, 0.6221), As at (0.2454, 0.5000, 0.2500) and P at (0.2500, 0.0081, 0.5000).



b | Here is a relaxed ZnGeAsP crystal from the Alexandria database. Energies are from PBE.

The spin magnetization is 0.000 μB per atom. As for the density of states at the Fermi level: 1.09 states/eV/cell.

The space group is Cm (No. 8) and the conventional cell measures 6.8860, 3.9730 and 6.8706 Å, with angles of 90.00, 109.53 and 90.00 degrees. The asymmetric unit holds Zn at (0.0000, 0.0000, 0.0000), Ge at (0.0222, 0.5000, 0.5695), As at (0.1334, 0.0000, 0.4025) and P at (0.1415, 0.5000, 0.9245).



Most stable structure - a; separation to the second - 0.029 eV/atom.